Entry from Alexandria: a geometry-optimized TaNiSn2O structure (GGA+U).

Cell lengths 5.3332, 5.3332, 3.3063 Å; angles 90.00, 90.00, 90.00 degrees
Last column: nearest neighbours and their distance in Å.
Positions (direct):
Ta 0.0000 0.0000 0.0000  8 Sn 3.14, 2 Ta 3.31
Ni 0.5000 0.5000 0.5000  2 O 1.65
Sn 0.0000 0.5000 0.5000  2 Ni 2.67
Sn 0.5000 0.0000 0.5000  2 Ni 2.67
O 0.5000 0.5000 0.0000  2 Ni 1.65

## Properties
Space-group type: P4/mmm, No. 123
Density of states at the Fermi level, states/eV per atom: 0.641
Total moment, Bohr magnetons per cell: 1.4
Electronic total energy, eV/cell: -25.68